# BHPd4 | Alexandria via LeMat-Bulk | PBE-GGA | relaxed
# DOS(E_F)   4.95 states/eV/cell
# V   12.09 Å³ per atom
# Polymorph energy (0 for the lowest one)   0 meV per atom
# Calculated density   10.0 g/cm3
data_BHPd4
_chemical_formula_sum 'B2 H2 Pd8'
_symmetry_space_group_name_H-M 'P 1 21/c 1'
_symmetry_Int_Tables_number 14
_cell_length_a 5.8051
_cell_length_b 4.8860
_cell_length_c 5.7866
_cell_angle_alpha 90.00
_cell_angle_beta 117.89
_cell_angle_gamma 90.00
loop_
_symmetry_equiv_pos_as_xyz
'x,y,z'
'-x,-y,-z'
'-x,y+1/2,-z+1/2'
'x,-y+1/2,z+1/2'
loop_
_atom_site_label
_atom_site_type_symbol
_atom_site_fract_x
_atom_site_fract_y
_atom_site_fract_z
B1 B 0.0000 0.0000 0.0000
H1 H 0.5000 0.0000 0.5000
Pd1 Pd 0.1842 0.2392 0.3422
Pd2 Pd 0.3266 0.7485 0.1668

***

# BH3Pd9 | Alexandria via LeMat-Bulk | PBE-GGA | relaxed
# DOS(E_F)   10.97 states/eV/cell
# V   11.97 Å³ per atom
# Raw total energy   -4.99 eV/atom
# Calculated density   10.4 g/cm3
data_BH3Pd9
_chemical_formula_sum 'B2 H6 Pd18'
_symmetry_space_group_name_H-M 'P 1 21 1'
_symmetry_Int_Tables_number 4
_cell_length_a 4.9137
_cell_length_b 7.9001
_cell_length_c 8.3573
_cell_angle_alpha 90.00
_cell_angle_beta 106.43
_cell_angle_gamma 90.00
loop_
_symmetry_equiv_pos_as_xyz
'x,y,z'
'-x,y+1/2,-z'
loop_
_atom_site_label
_atom_site_type_symbol
_atom_site_fract_x
_atom_site_fract_y
_atom_site_fract_z
B1 B 0.0416 0.0000 0.0953
H1 H 0.2961 0.7907 0.8096
H2 H 0.3082 0.2145 0.8146
H3 H 0.4733 0.6026 0.5733
Pd1 Pd 0.0510 0.8237 0.2921
Pd2 Pd 0.0556 0.1769 0.2936
Pd3 Pd 0.1517 0.4988 0.4631
Pd4 Pd 0.1743 0.0020 0.8688
Pd5 Pd 0.2702 0.6786 0.0416
Pd6 Pd 0.2722 0.3258 0.0432
Pd7 Pd 0.3950 0.8294 0.6198
Pd8 Pd 0.3991 0.1755 0.6216
Pd9 Pd 0.4955 0.0003 0.2053